RbNbZnAg2 | the Alexandria database | PBE-GGA | relaxed; crystal system = tetragonal; magnetic moment = 3.723 Bohr magnetons per cell; SG = P4/mmm (123); formation energy from the elements = 9.28 eV per formula unit; raw total energy = -1.746 eV/atom
1.0
5.5957 0.0000 0.0000
0.0000 5.5957 0.0000
0.0000 0.0000 5.5174
Zn Rb Ag Nb
1 1 2 1
Cartesian
0.0000 0.0000 2.7587 Zn
0.0000 0.0000 0.0000 Rb
2.7979 0.0000 0.0000 Ag
0.0000 2.7979 0.0000 Ag
2.7979 2.7979 2.7587 Nb

Rb2ZrNbAg | the Alexandria database | PBE-GGA | relaxed; crystal system = tetragonal; magnetic moment = 7.621 Bohr magnetons per cell; SG = P4/mmm (123); formation energy from the elements = 9.92 eV per formula unit; raw total energy = -2.697 eV/atom
1.0
-5.6474 2.5202 2.8364
-2.5415 -0.4633 -4.6484
-1.9558 -6.2918 1.6964
Nb Ag Rb Zr
1 1 2 1
Cartesian
-5.0723 -2.1175 -0.0578 Nb
-1.2707 -0.2317 -2.3242 Ag
-0.9779 -3.1459 0.8482 Rb
-2.8237 1.2601 1.4182 Rb
0.0000 0.0000 0.0000 Zr

NbRe3Ag | the Alexandria database | PBE-GGA | relaxed; crystal system = cubic; magnetic moment = 2.289 Bohr magnetons per cell; SG = Pm-3m (221); relative energy among the computed polymorphs = 0 kJ/mol of formula units; formation energy from the elements = 11.98 eV per formula unit; raw total energy = -7.656 eV/atom
1.0
4.7657 0.0000 0.0000
0.0000 4.7657 0.0000
0.0000 0.0000 4.7657
Re Ag Nb
3 1 1
Cartesian
0.0000 2.3828 0.0000 Re
0.0000 0.0000 2.3828 Re
2.3828 0.0000 0.0000 Re
2.3828 2.3828 2.3828 Ag
0.0000 0.0000 0.0000 Nb

Nb2Re2Ag | the Alexandria database | PBE-GGA | relaxed; crystal system = tetragonal; magnetic moment = 0.000 Bohr magnetons per cell; SG = P4/mbm (127); formation energy from the elements = 1.70 eV per formula unit; raw total energy = -9.237 eV/atom
1.0
-0.3004 -0.3252 7.5306
-5.3930 -5.2560 -0.4421
2.1768 -2.2327 -0.0096
Nb Ag Re
4 2 4
Cartesian
0.1375 -2.0542 2.5069 Nb
-3.6540 -5.7597 4.5720 Nb
-2.5033 -4.6219 0.8887 Nb
-1.0133 -3.1920 6.1902 Nb
-2.8467 -2.7906 3.5442 Ag
0.0000 0.0000 0.0000 Ag
-3.7019 -3.6358 6.2058 Re
-0.9384 -0.9352 4.7466 Re
-4.7550 -4.6459 2.3419 Re
-1.9915 -1.9454 0.8827 Re

NbRe3Ag | the Alexandria database | PBE-GGA | relaxed; crystal system = cubic; magnetic moment = 0.000 Bohr magnetons per cell; SG = Pm-3m (221); relative energy among the computed polymorphs = 219 kJ/mol of formula units; formation energy from the elements = 14.25 eV per formula unit; raw total energy = -7.203 eV/atom
1.0
-1.7926 -1.8192 3.9237
3.9334 1.0800 2.2978
-1.7980 4.1764 1.1149
Re Nb Ag
3 1 1
Cartesian
-0.8990 2.0882 0.5574 Re
-0.8963 -0.9096 1.9618 Re
1.9667 0.5400 1.1489 Re
0.1714 1.7186 3.6682 Nb
0.0000 0.0000 0.0000 Ag

Nb2ReAgSb | the Alexandria database | PBE-GGA | relaxed; crystal system = tetragonal; magnetic moment = 0.000 Bohr magnetons per cell; SG = P4/mmm (123); formation energy without anion corrections = 1.87 eV/atom; raw total energy = -6.038 eV/atom
1.0
5.0433 0.0000 0.0000
0.0000 4.8196 0.0000
0.0000 0.0000 5.0433
Sb Nb Re Ag
1 2 1 1
Cartesian
0.0000 0.0000 0.0000 Sb
0.0000 0.0000 2.5216 Nb
2.5216 0.0000 0.0000 Nb
0.0000 2.4098 0.0000 Re
2.5216 2.4098 2.5216 Ag

NbRe2TcAg | the Alexandria database | PBE-GGA | relaxed; crystal system = tetragonal; magnetic moment = 2.408 Bohr magnetons per cell; SG = P4/mmm (123); formation energy from the elements = 10.93 eV per formula unit; raw total energy = -7.451 eV/atom
1.0
4.7708 0.0000 0.0000
0.0000 4.7200 0.0000
0.0000 0.0000 4.7708
Ag Nb Re Tc
1 1 2 1
Cartesian
2.3854 2.3600 2.3854 Ag
0.0000 0.0000 0.0000 Nb
0.0000 0.0000 2.3854 Re
2.3854 0.0000 0.0000 Re
0.0000 2.3600 0.0000 Tc

NbZnReAg2 | the Alexandria database | PBE-GGA | relaxed; crystal system = tetragonal; magnetic moment = 0.000 Bohr magnetons per cell; SG = P4/mmm (123); formation energy from the elements = 6.88 eV per formula unit; raw total energy = -4.522 eV/atom
1.0
5.1443 0.0000 0.0000
0.0000 4.6341 0.0000
0.0000 0.0000 5.1443
Ag Re Nb Zn
2 1 1 1
Cartesian
2.5721 0.0000 0.0000 Ag
0.0000 0.0000 2.5721 Ag
0.0000 0.0000 0.0000 Re
0.0000 2.3171 0.0000 Nb
2.5721 2.3171 2.5721 Zn

NbAgRh3 | the Alexandria database | PBE-GGA | relaxed; crystal system = cubic; magnetic moment = 0.000 Bohr magnetons per cell; SG = Pm-3m (221); relative energy among the computed polymorphs = 394 kJ/mol of formula units; formation energy from the elements = 8.64 eV per formula unit; raw total energy = -5.267 eV/atom
1.0
-3.3536 -3.0091 -1.2817
3.2521 -3.2634 -0.8477
-0.3483 -1.4966 4.4253
Ag Rh Nb
1 3 1
Cartesian
0.0000 0.0000 0.0000 Ag
-1.6768 -1.5046 -0.6408 Rh
1.6260 -1.6317 -0.4238 Rh
-0.1742 -0.7483 2.2126 Rh
-0.2249 -3.8846 1.1480 Nb

NbAgRh3 | the Alexandria database | PBE-GGA | relaxed; crystal system = cubic; magnetic moment = 0.000 Bohr magnetons per cell; SG = Pm-3m (221); relative energy among the computed polymorphs = 0 kJ/mol of formula units; formation energy from the elements = 4.56 eV per formula unit; raw total energy = -6.084 eV/atom
1.0
4.7139 0.0000 0.0000
0.0000 4.7139 0.0000
0.0000 0.0000 4.7139
Ag Rh Nb
1 3 1
Cartesian
2.3570 2.3570 2.3570 Ag
0.0000 2.3570 0.0000 Rh
2.3570 0.0000 0.0000 Rh
0.0000 0.0000 2.3570 Rh
0.0000 0.0000 0.0000 Nb

Nb2AgRh2 | the Alexandria database | PBE-GGA | relaxed; crystal system = tetragonal; magnetic moment = 0.000 Bohr magnetons per cell; SG = P4/mbm (127); relative energy among the computed polymorphs = 58 kJ/mol of formula units; formation energy from the elements = -0.46 eV per formula unit; raw total energy = -7.630 eV/atom
1.0
-4.8730 -4.7186 -3.9356
6.0815 -4.4208 -2.2297
-0.3168 -1.6032 2.3144
Nb Rh Ag
4 4 2
Cartesian
3.4676 -5.4379 -3.2921 Nb
-2.2590 -3.7015 -2.8732 Nb
-0.2235 -6.8853 -4.8000 Nb
1.4320 -2.2541 -1.3654 Nb
1.8812 -7.6253 -3.2903 Rh
-2.1677 -6.3911 -2.9897 Rh
3.0595 -4.3514 -0.8613 Rh
-0.9894 -3.1172 -0.5606 Rh
0.0000 0.0000 0.0000 Ag
0.6043 -4.5697 -3.0827 Ag

NbAg2Rh | the Alexandria database | PBE-GGA | relaxed; crystal system = cubic; magnetic moment = 0.000 Bohr magnetons per cell; SG = Fm-3m (225); relative energy among the computed polymorphs = 0 kJ/mol of formula units; formation energy from the elements = 1.52 eV per formula unit; raw total energy = -5.400 eV/atom
1.0
0.0000 3.2286 3.2286
3.2286 0.0000 3.2286
3.2286 3.2286 0.0000
Nb Rh Ag
1 1 2
Cartesian
0.0000 0.0000 0.0000 Nb
3.2286 3.2286 3.2286 Rh
1.6143 1.6143 1.6143 Ag
4.8429 4.8429 4.8429 Ag